#w
Below is a relaxed Co2SiSe crystal, with properties calculated at the GGA-PBE level.

```
4
Lattice="4.119 -1.538 0.000 4.119 1.538 0.000 -0.940 0.000 4.007" Properties=species:S:1:pos:R:3 pbc="T T T"
Co 0.000 0.000 0.000
Co 1.197 0.000 2.478
Si 3.553 0.000 2.116
Se 5.931 0.000 0.455
```

## Properties
V, Å³/atom: 12.688
Crystal system: monoclinic

***

#x
Below is a relaxed Co2SiSe crystal, with properties calculated at the GGA-PBE level.

```
4
Lattice="3.241 0.000 0.000 0.000 3.241 0.000 0.000 0.000 4.824" Properties=species:S:1:pos:R:3 pbc="T T T"
Co 0.000 0.000 0.000
Co 1.621 1.621 1.669
Si 1.621 1.621 4.158
Se 0.000 0.000 2.369
```

## Properties
V, Å³/atom: 12.668
Crystal system: tetragonal

***

Stability, lowest: #w

***

#w
Below is a relaxed Sm2CoSe crystal, with properties calculated at the GGA-PBE level.

```
8
Lattice="2.073 -11.544 0.000 2.073 11.544 0.000 0.000 0.000 4.067" Properties=species:S:1:pos:R:3 pbc="T T T"
Sm 2.073 10.059 3.050
Sm 2.073 4.177 3.050
Sm 2.073 -4.177 1.017
Sm 2.073 -10.059 1.017
Co 2.073 0.523 3.050
Co 2.073 -0.523 1.017
Se 2.073 7.107 3.050
Se 2.073 -7.107 1.017
```

## Properties
V, Å³/atom: 24.328
Crystal system: orthorhombic

***

#x
Below is a relaxed Sm2CoSe crystal, with properties calculated at the GGA-PBE level.

```
4
Lattice="1.980 1.143 7.161 -1.980 1.143 7.161 0.000 -2.287 7.161" Properties=species:S:1:pos:R:3 pbc="T T T"
Sm 0.000 0.000 5.198
Sm 0.000 0.000 16.286
Co 0.000 0.000 10.742
Se 0.000 0.000 0.000
```

## Properties
V, Å³/atom: 24.323
Crystal system: trigonal

***

Stability, lowest: #x

***

#w
Below is a relaxed Co2SnSe2 crystal, with properties calculated at the GGA-PBE level.

```
10
Lattice="7.728 0.000 0.000 0.000 7.728 0.000 0.000 0.000 2.997" Properties=species:S:1:pos:R:3 pbc="T T T"
Co 0.890 2.974 0.000
Co 2.974 6.838 0.000
Co 4.754 0.890 0.000
Co 6.838 4.754 0.000
Sn 0.000 0.000 1.498
Sn 3.864 3.864 1.498
Se 1.071 4.935 1.498
Se 2.793 1.071 1.498
Se 4.935 6.657 1.498
Se 6.657 2.793 1.498
```

## Properties
V, Å³/atom: 17.898
Crystal system: tetragonal

***

#x
Below is a relaxed Co2SnSe2 crystal, with properties calculated at the GGA-PBE level.

```
5
Lattice="-2.243 2.243 4.387 2.243 -2.243 4.387 2.243 2.243 -4.387" Properties=species:S:1:pos:R:3 pbc="T T T"
Co 0.000 0.000 1.267
Co 0.000 0.000 7.506
Sn 0.000 0.000 4.387
Se 2.243 0.000 2.193
Se 0.000 2.243 2.193
```

## Properties
V, Å³/atom: 17.659
Crystal system: tetragonal

***

Stability, lowest: #w

***

#w
Below is a relaxed Co2SnSe crystal, with properties calculated at the GGA-PBE level.

```
4
Lattice="0.000 3.130 3.130 3.130 0.000 3.130 3.130 3.130 0.000" Properties=species:S:1:pos:R:3 pbc="T T T"
Co 1.565 1.565 1.565
Co 4.695 4.695 4.695
Sn 0.000 0.000 0.000
Se 3.130 3.130 3.130
```

## Properties
V, Å³/atom: 15.336
Crystal system: cubic

***

#x
Below is a relaxed Co2SnSe crystal, with properties calculated at the GGA-PBE level.

```
8
Lattice="-2.180 2.180 7.459 2.180 -2.180 7.459 2.180 2.180 -7.459" Properties=species:S:1:pos:R:3 pbc="T T T"
Co 3.270 0.737 -1.865
Co 0.737 1.090 1.865
Co -1.090 1.443 5.595
Co 1.443 1.090 9.324
Sn 2.180 0.000 3.730
Sn 0.000 0.000 7.459
Se 0.000 0.000 0.000
Se 0.000 2.180 3.730
```

## Properties
V, Å³/atom: 17.723
Crystal system: tetragonal

***

Stability, lowest: #w

***

#w
Below is a relaxed Sr2CoTeSe crystal, with properties calculated at the GGA-PBE level.

```
5
Lattice="6.206 0.000 0.000 0.000 6.206 0.000 0.000 0.000 5.493" Properties=species:S:1:pos:R:3 pbc="T T T"
Sr 0.000 3.103 0.000
Sr 3.103 0.000 0.000
Co 0.000 0.000 2.746
Te 3.103 3.103 0.000
Se 3.103 3.103 2.746
```

## Properties
V, Å³/atom: 42.309
Crystal system: tetragonal

***

#x
Below is a relaxed Sr2CoTeSe crystal, with properties calculated at the GGA-PBE level.

```
5
Lattice="5.963 0.000 0.000 0.000 5.963 0.000 0.000 0.000 4.365" Properties=species:S:1:pos:R:3 pbc="T T T"
Sr 0.000 2.981 0.000
Sr 2.981 0.000 0.000
Co 0.000 0.000 2.182
Te 2.981 2.981 2.182
Se 0.000 0.000 0.000
```

## Properties
V, Å³/atom: 31.038
Crystal system: tetragonal

***

Stability, lowest: #w

***

#w
Below is a relaxed TaCoSe crystal, with properties calculated at the GGA-PBE level.

```
3
Lattice="3.379 0.000 0.000 -1.690 2.927 0.000 0.000 0.000 5.213" Properties=species:S:1:pos:R:3 pbc="T T T"
Ta 0.000 0.000 0.000
Co 0.000 1.951 1.436
Se 1.690 0.976 3.325
```

## Properties
V, Å³/atom: 17.187
Crystal system: trigonal

***

#x
Below is a relaxed TaCoSe crystal, with properties calculated at the GGA-PBE level.

```
3
Lattice="0.000 2.987 2.987 2.987 0.000 2.987 2.987 2.987 0.000" Properties=species:S:1:pos:R:3 pbc="T T T"
Ta 0.000 0.000 0.000
Co 1.493 1.493 1.493
Se 4.480 4.480 4.480
```

## Properties
V, Å³/atom: 17.764
Crystal system: cubic

***

#y
Below is a relaxed TaCoSe crystal, with properties calculated at the GGA-PBE level.

```
6
Lattice="3.399 0.000 0.000 0.000 4.185 0.000 -1.658 0.000 8.640" Properties=species:S:1:pos:R:3 pbc="T T T"
Ta 0.000 1.046 1.110
Ta 1.742 3.139 7.530
Co 0.042 1.046 7.919
Co 1.700 3.139 0.721
Se 0.000 3.139 2.600
Se 1.742 1.046 6.040
```

## Properties
V, Å³/atom: 20.487
Crystal system: monoclinic

***

#z
Below is a relaxed TaCoSe crystal, with properties calculated at the GGA-PBE level.

```
6
Lattice="3.090 -2.148 0.000 3.090 2.148 0.000 -0.131 0.000 9.236" Properties=species:S:1:pos:R:3 pbc="T T T"
Ta 0.274 0.000 1.510
Ta 5.776 0.000 7.726
Co 1.667 0.000 8.748
Co 4.383 0.000 0.488
Se 1.989 0.000 6.350
Se 4.061 0.000 2.886
```

## Properties
V, Å³/atom: 20.438
Crystal system: monoclinic

***

Stability, lowest: #x

***

#w
Below is a relaxed TaCoSe crystal, with properties calculated at the GGA-PBE level.

```
3
Lattice="3.848 0.000 0.000 -1.924 3.332 0.000 0.000 0.000 3.457" Properties=species:S:1:pos:R:3 pbc="T T T"
Ta 0.000 0.000 0.000
Co 1.924 1.111 1.728
Se 0.000 2.221 1.728
```

## Properties
V, Å³/atom: 14.772
Crystal system: hexagonal

***

#x
Below is a relaxed TaCoSe crystal, with properties calculated at the GGA-PBE level.

```
6
Lattice="3.336 0.000 0.000 1.666 4.006 0.000 1.627 -0.639 9.071" Properties=species:S:1:pos:R:3 pbc="T T T"
Ta 1.648 1.123 3.117
Ta 4.981 2.244 5.954
Co 3.311 2.841 4.188
Co 3.317 0.526 4.883
Se 3.311 0.598 7.307
Se 3.317 2.769 1.764
```

## Properties
V, Å³/atom: 20.204
Crystal system: triclinic

***

#y
Below is a relaxed TaCoSe crystal, with properties calculated at the GGA-PBE level.

```
6
Lattice="1.760 1.016 10.645 -1.760 1.016 10.645 0.000 -2.032 10.645" Properties=species:S:1:pos:R:3 pbc="T T T"
Ta 0.000 0.000 1.909
Ta 0.000 0.000 30.025
Co 0.000 0.000 11.098
Co 0.000 0.000 20.836
Se 0.000 0.000 7.043
Se 0.000 0.000 24.891
```

## Properties
V, Å³/atom: 19.040
Crystal system: trigonal

***

#z
Below is a relaxed TaCoSe crystal, with properties calculated at the GGA-PBE level.

```
6
Lattice="9.386 -1.608 0.000 9.386 1.608 0.000 -0.553 0.000 3.964" Properties=species:S:1:pos:R:3 pbc="T T T"
Ta 1.111 0.000 1.158
Ta 17.109 0.000 2.807
Co 8.508 0.000 0.845
Co 9.712 0.000 3.119
Se 6.192 0.000 1.377
Se 12.027 0.000 2.587
```

## Properties
V, Å³/atom: 19.948
Crystal system: monoclinic

***

Stability, lowest: #w

***

#w
Below is a relaxed TaCoSe crystal, with properties calculated at the GGA-PBE level.

```
3
Lattice="-1.601 1.601 4.463 1.601 -1.601 4.463 1.601 1.601 -4.463" Properties=species:S:1:pos:R:3 pbc="T T T"
Ta 0.000 0.000 0.000
Co 0.000 0.000 5.761
Se 0.000 0.000 2.798
```

## Properties
V, Å³/atom: 15.246
Crystal system: tetragonal

***

#x
Below is a relaxed TaCoSe crystal, with properties calculated at the GGA-PBE level.

```
6
Lattice="4.560 0.000 0.000 0.000 3.311 0.000 -0.894 0.000 6.413" Properties=species:S:1:pos:R:3 pbc="T T T"
Ta 0.000 0.000 0.000
Ta 1.480 0.000 4.025
Co 1.641 1.656 5.836
Co 3.893 1.656 4.563
Se 1.483 1.656 1.447
Se 3.744 0.000 2.803
```

## Properties
V, Å³/atom: 16.138
Crystal system: monoclinic

***

#y
Below is a relaxed TaCoSe crystal, with properties calculated at the GGA-PBE level.

```
6
Lattice="4.720 -1.746 0.000 4.720 1.746 0.000 -0.592 0.000 5.847" Properties=species:S:1:pos:R:3 pbc="T T T"
Ta 1.272 0.000 0.886
Ta 7.575 0.000 4.961
Co 3.987 0.000 0.903
Co 4.861 0.000 4.944
Se 1.070 0.000 3.723
Se 7.777 0.000 2.124
```

## Properties
V, Å³/atom: 16.060
Crystal system: monoclinic

***

#z
Below is a relaxed TaCoSe crystal, with properties calculated at the GGA-PBE level.

```
6
Lattice="4.029 0.000 0.000 0.000 3.311 0.000 -0.602 0.000 8.988" Properties=species:S:1:pos:R:3 pbc="T T T"
Ta 0.000 0.000 0.000
Ta 1.431 0.000 6.611
Co 1.491 1.656 8.439
Co 3.475 1.656 6.882
Se 1.201 1.656 1.657
Se 3.441 0.000 4.979
```

## Properties
V, Å³/atom: 19.985
Crystal system: monoclinic

***

Stability, lowest: #w

***

#w
Below is a relaxed TaCo3Se crystal, with properties calculated at the GGA-PBE level.

```
5
Lattice="4.520 0.000 0.000 0.000 4.520 0.000 0.000 0.000 4.520" Properties=species:S:1:pos:R:3 pbc="T T T"
Ta 0.000 0.000 0.000
Co 0.000 0.000 2.260
Co 0.000 2.260 0.000
Co 2.260 0.000 0.000
Se 2.260 2.260 2.260
```

## Properties
V, Å³/atom: 18.467
Crystal system: cubic

***

#x
Below is a relaxed TaCo3Se crystal, with properties calculated at the GGA-PBE level.

```
5
Lattice="4.240 0.000 0.000 0.000 4.240 0.000 0.000 0.000 4.240" Properties=species:S:1:pos:R:3 pbc="T T T"
Ta 0.000 0.000 0.000
Co 0.000 2.120 2.120
Co 2.120 0.000 2.120
Co 2.120 2.120 0.000
Se 2.120 2.120 2.120
```

## Properties
V, Å³/atom: 15.244
Crystal system: cubic

***

Stability, lowest: #w

***

#w
Below is a relaxed TaCoSe3 crystal, with properties calculated at the GGA-PBE level.

```
5
Lattice="5.023 0.000 0.000 0.000 5.023 0.000 0.000 0.000 5.023" Properties=species:S:1:pos:R:3 pbc="T T T"
Ta 0.000 0.000 0.000
Co 2.512 2.512 2.512
Se 0.000 0.000 2.512
Se 0.000 2.512 0.000
Se 2.512 0.000 0.000
```

## Properties
V, Å³/atom: 25.352
Crystal system: cubic

***

#x
Below is a relaxed TaCoSe3 crystal, with properties calculated at the GGA-PBE level.

```
5
Lattice="4.564 0.000 0.000 0.000 4.564 0.000 0.000 0.000 4.564" Properties=species:S:1:pos:R:3 pbc="T T T"
Ta 0.000 0.000 0.000
Co 2.282 2.282 2.282
Se 0.000 2.282 2.282
Se 2.282 0.000 2.282
Se 2.282 2.282 0.000
```

## Properties
V, Å³/atom: 19.015
Crystal system: cubic

***

Stability, lowest: #x